! MgV3O6 | Alexandria via LeMat-Bulk | PBE with a Hubbard U | relaxed; values from VASP
! Calculated total energy in eV/cell: -148.926
&SYSTEM
  ibrav = 0, nat = 20, ntyp = 3
/
ATOMIC_SPECIES
Mg 24.30 Mg.upf
V 50.94 V.upf
O 16.00 O.upf
ATOMIC_POSITIONS crystal
Mg 0.149 0.851 0.500
Mg 0.851 0.149 0.000
V 0.083 0.331 0.529
V 0.331 0.083 0.029
V 0.394 0.606 0.078
V 0.606 0.394 0.578
V 0.669 0.917 0.529
V 0.917 0.669 0.029
O 0.035 0.965 0.161
O 0.103 0.568 0.297
O 0.224 0.776 0.854
O 0.309 0.354 0.800
O 0.354 0.309 0.300
O 0.432 0.897 0.297
O 0.568 0.103 0.797
O 0.646 0.691 0.800
O 0.691 0.646 0.300
O 0.776 0.224 0.354
O 0.897 0.432 0.797
O 0.965 0.035 0.661
CELL_PARAMETERS angstrom
3.948 -5.052 0.000
3.948 5.052 0.000
0.000 0.000 5.138